No. 1
Compound: AlIr
Source: Alexandria via LeMat-Bulk
Functional: GGA-PBEsol
Structure: relaxed

a = 2.9901 Å, b = 2.9901 Å, c = 2.9901 Å
α = 90.00°, β = 90.00°, γ = 90.00°
Atoms (fractional coordinates):
Ir  0.5000  0.5000  0.5000
Al  0.0000  0.0000  0.0000

Total energy = -0.2902 hartree per atom
Volume = 27 Å³/cell
DOS at the Fermi energy = 0.190 states/eV/atom
Size of the total moment = 0.00 μB/f.u.

---

No. 2
Compound: AlIr2
Source: Alexandria via LeMat-Bulk
Functional: GGA-PBEsol
Structure: relaxed

a = 2.7587 Å, b = 4.2026 Å, c = 4.2026 Å
α = 120.00°, β = 90.00°, γ = 90.00°
Atoms (fractional coordinates):
Ir  0.2577  0.6667  0.3333
Ir  0.7423  0.3333  0.6667
Al  0.0000  0.0000  0.0000

Total energy = -0.2997 hartree per atom
Volume = 42 Å³/cell
DOS at the Fermi energy = 1.243 states/eV/atom
Size of the total moment = 0.00 μB/f.u.

---

No. 3
Compound: Al2Ir
Source: Alexandria via LeMat-Bulk
Functional: GGA-PBEsol
Structure: relaxed

a = 8.0148 Å, b = 8.0148 Å, c = 8.0148 Å
α = 60.00°, β = 60.00°, γ = 60.00°
Atoms (fractional coordinates):
Al  0.6250  0.1250  0.1250
Al  0.1250  0.1250  0.1250
Al  0.1250  0.6250  0.1250
Al  0.1250  0.1250  0.6250
Al  0.7058  0.2942  0.2942
Al  0.7058  0.7058  0.2942
Al  0.2942  0.7058  0.2942
Al  0.7058  0.2942  0.7058
Al  0.2942  0.2942  0.7058
Al  0.2942  0.7058  0.7058
Al  0.5442  0.9558  0.9558
Al  0.5442  0.5442  0.9558
Al  0.9558  0.5442  0.9558
Al  0.5442  0.9558  0.5442
Al  0.9558  0.9558  0.5442
Al  0.9558  0.5442  0.5442
Ir  0.9008  0.9008  0.2977
Ir  0.9008  0.2977  0.9008
Ir  0.9008  0.9008  0.9008
Ir  0.2977  0.9008  0.9008
Ir  0.3492  0.3492  0.9523
Ir  0.3492  0.9523  0.3492
Ir  0.3492  0.3492  0.3492
Ir  0.9523  0.3492  0.3492

Total energy = -0.2480 hartree per atom
Volume = 364 Å³/cell
DOS at the Fermi energy = 0.443 states/eV/atom
Size of the total moment = 0.00 μB/f.u.

---

No. 4
Compound: AlIr
Source: Alexandria via LeMat-Bulk
Functional: GGA-PBEsol
Structure: relaxed

a = 3.7653 Å, b = 3.7653 Å, c = 5.0293 Å
α = 90.00°, β = 90.00°, γ = 120.00°
Atoms (fractional coordinates):
Ir  0.6667  0.3333  0.7500
Ir  0.3333  0.6667  0.2500
Al  0.0000  0.0000  0.0000
Al  0.0000  0.0000  0.5000

Total energy = -0.2632 hartree per atom
Volume = 62 Å³/cell
DOS at the Fermi energy = 0.317 states/eV/atom
Size of the total moment = 0.00 μB/f.u.

---

No. 5
Compound: AlIr5
Source: Alexandria via LeMat-Bulk
Functional: GGA-PBEsol
Structure: relaxed

a = 3.7863 Å, b = 3.8307 Å, c = 6.0973 Å
α = 71.69°, β = 90.00°, γ = 90.00°
Atoms (fractional coordinates):
Ir  0.5000  0.3338  0.3325
Ir  0.0000  0.1699  0.6601
Ir  0.5000  0.0000  0.0000
Ir  0.0000  0.8301  0.3399
Ir  0.5000  0.6662  0.6675
Al  0.0000  0.5000  0.0000

Total energy = -0.3344 hartree per atom
Volume = 84 Å³/cell
DOS at the Fermi energy = 0.887 states/eV/atom
Size of the total moment = 0.00 μB/f.u.

---

No. 6
Compound: Al2Ir
Source: Alexandria via LeMat-Bulk
Functional: GGA-PBEsol
Structure: relaxed

a = 2.8660 Å, b = 2.8660 Å, c = 11.4319 Å
α = 97.20°, β = 97.20°, γ = 90.00°
Atoms (fractional coordinates):
Ir  0.2500  0.7500  0.5000
Ir  0.0000  0.0000  0.0000
Al  0.8212  0.3212  0.6424
Al  0.4288  0.4288  0.8576
Al  0.6788  0.1788  0.3576
Al  0.5712  0.5712  0.1424

Total energy = -0.2410 hartree per atom
Volume = 92 Å³/cell
DOS at the Fermi energy = 0.384 states/eV/atom
Size of the total moment = 0.00 μB/f.u.

---

No. 7
Compound: AlIr
Source: Alexandria via LeMat-Bulk
Functional: GGA-PBEsol
Structure: relaxed

a = 3.6533 Å, b = 3.6533 Å, c = 4.8896 Å
α = 111.94°, β = 111.94°, γ = 90.00°
Atoms (fractional coordinates):
Ir  0.7500  0.2500  0.5000
Ir  0.5000  0.5000  0.0000
Al  0.2500  0.7500  0.5000
Al  0.0000  0.0000  0.0000

Total energy = -0.2773 hartree per atom
Volume = 55 Å³/cell
DOS at the Fermi energy = 0.625 states/eV/atom
Size of the total moment = 0.00 μB/f.u.

---

No. 8
Compound: K2AlIr
Source: Alexandria via LeMat-Bulk
Functional: GGA-PBEsol
Structure: relaxed

a = 3.0611 Å, b = 5.3003 Å, c = 6.0639 Å
α = 115.92°, β = 90.00°, γ = 90.00°
Each line ends with the local moment (μB).
Atoms (fractional coordinates):
K  0.0000  0.0000  0.5000  0.00
K  0.0000  0.5000  0.5000  0.00
Ir  0.5000  0.5000  0.0000  0.10
Al  0.5000  0.0000  0.0000  0.00

Total energy = -0.1216 hartree per atom
Volume = 88 Å³/cell
DOS at the Fermi energy = 0.986 states/eV/atom
Size of the total moment = 0.10 μB/f.u.

---

no.,density (g cm⁻³)
1,13.62
2,16.19
3,8.98
4,11.79
5,19.54
6,8.85
7,13.14
8,5.58